Entry from Alexandria via LeMat-Bulk: an optimized crystal structure of V2RuRh (PBE).

a = 6.064 Å, b = 6.064 Å, c = 6.064 Å
α = 90.00°, β = 90.00°, γ = 90.00°
Space group Fm-3m (No. 225)
Inequivalent atoms, fractional coordinates:
V (0.250, 0.250, 0.250) x8
Ru (0.000, 0.000, 0.000) x4
Rh (0.000, 0.000, 0.500) x4

***

Entry from Alexandria via LeMat-Bulk: an optimized crystal structure of VRuRh4 (PBE).

a = 3.825 Å, b = 11.458 Å, c = 3.817 Å
α = 90.00°, β = 90.00°, γ = 90.00°
Space group Cmmm (No. 65)
Inequivalent atoms, fractional coordinates:
V (0.000, 0.000, 0.000) x2
Ru (0.000, 0.500, 0.500) x2
Rh (0.000, 0.162, 0.500) x4
Rh (0.000, 0.339, 0.000) x4

***

Entry from Alexandria via LeMat-Bulk: an optimized crystal structure of VRuRh6 (PBE).

a = 5.397 Å, b = 9.728 Å, c = 5.315 Å
α = 90.00°, β = 119.17°, γ = 90.00°
Space group C2/m (No. 12)
Inequivalent atoms, fractional coordinates:
V (0.000, 0.000, 0.000) x2
Ru (0.000, 0.000, 0.500) x2
Rh (0.004, 0.226, 0.250) x8
Rh (0.030, 0.500, 0.761) x4

***

Entry from Alexandria via LeMat-Bulk: an optimized crystal structure of V2RuRh9 (PBE).

a = 3.820 Å, b = 3.820 Å, c = 11.459 Å
α = 90.00°, β = 90.00°, γ = 90.00°
Space group P4/mmm (No. 123)
Inequivalent atoms, fractional coordinates:
V (0.000, 0.000, 0.164) x2
Ru (0.000, 0.000, 0.500) x1
Rh (0.000, 0.500, 0.000) x2
Rh (0.000, 0.500, 0.332) x4
Rh (0.500, 0.500, 0.167) x2
Rh (0.500, 0.500, 0.500) x1

***

Entry from Alexandria via LeMat-Bulk: an optimized crystal structure of V3Ru2Rh2 (PBE).

a = 2.946 Å, b = 22.886 Å, c = 2.952 Å
α = 90.00°, β = 90.00°, γ = 90.00°
Space group Cmmm (No. 65)
Inequivalent atoms, fractional coordinates:
V (0.000, 0.000, 0.000) x2
V (0.000, 0.138, 0.000) x4
Ru (0.000, 0.434, 0.500) x4
Rh (0.000, 0.301, 0.500) x4

***

Entry from Alexandria via LeMat-Bulk: an optimized crystal structure of VRuRh3 (PBE).

a = 4.648 Å, b = 4.666 Å, c = 7.181 Å
α = 83.87°, β = 71.13°, γ = 70.78°
Space group P-1 (No. 2)
Inequivalent atoms, fractional coordinates:
V (0.152, 0.250, 0.197) x2
Ru (0.350, 0.250, 0.800) x2
Rh (0.055, 0.751, 0.391) x2
Rh (0.251, 0.750, 0.997) x2
Rh (0.447, 0.750, 0.607) x2

***

Entry from Alexandria via LeMat-Bulk: an optimized crystal structure of VRu3Rh (PBE).

a = 4.385 Å, b = 4.385 Å, c = 4.385 Å
α = 90.00°, β = 90.00°, γ = 90.00°
Space group Pm-3m (No. 221)
Inequivalent atoms, fractional coordinates:
V (0.000, 0.000, 0.000) x1
Ru (0.000, 0.000, 0.500) x3
Rh (0.500, 0.500, 0.500) x1

***

Entry from Alexandria via LeMat-Bulk: an optimized crystal structure of V2RuRh (PBE).

a = 8.829 Å, b = 5.688 Å, c = 4.410 Å
α = 90.00°, β = 97.22°, γ = 90.00°
Space group C2/m (No. 12)
Inequivalent atoms, fractional coordinates:
V (0.107, 0.246, 0.214) x8
Ru (0.141, 0.000, 0.722) x4
Rh (0.140, 0.500, 0.715) x4

***

Entry from Alexandria via LeMat-Bulk: an optimized crystal structure of VRuRh3 (PBE).

a = 4.434 Å, b = 4.434 Å, c = 4.434 Å
α = 90.00°, β = 90.00°, γ = 90.00°
Space group Pm-3m (No. 221)
Inequivalent atoms, fractional coordinates:
V (0.000, 0.000, 0.000) x1
Ru (0.500, 0.500, 0.500) x1
Rh (0.000, 0.000, 0.500) x3

***

Entry from Alexandria via LeMat-Bulk: an optimized crystal structure of V3Ru4Rh (PBE).

a = 13.506 Å, b = 4.165 Å, c = 4.165 Å
α = 90.00°, β = 107.90°, γ = 90.00°
Space group C2/m (No. 12)
Inequivalent atoms, fractional coordinates:
V (0.000, 0.000, 0.000) x2
V (0.243, 0.500, 0.743) x4
Ru (0.137, 0.000, 0.636) x4
Ru (0.137, 0.500, 0.137) x4
Rh (0.000, 0.500, 0.500) x2

***

Entry from Alexandria via LeMat-Bulk: an optimized crystal structure of V3RuRh4 (PBE).

a = 8.643 Å, b = 5.373 Å, c = 4.770 Å
α = 90.00°, β = 90.00°, γ = 90.00°
Space group Pmn2_1 (No. 31)
Inequivalent atoms, fractional coordinates:
V (0.000, 0.126, 0.000) x2
V (0.238, 0.635, 0.701) x4
Ru (0.000, 0.590, 0.014) x2
Rh (0.000, 0.377, 0.511) x2
Rh (0.000, 0.881, 0.527) x2
Rh (0.247, 0.869, 0.198) x4

***

Entry from Alexandria via LeMat-Bulk: an optimized crystal structure of VRuRh4 (PBE).

a = 4.339 Å, b = 11.964 Å, c = 7.133 Å
α = 90.00°, β = 90.00°, γ = 90.00°
Space group Cmcm (No. 63)
Inequivalent atoms, fractional coordinates:
V (0.000, 0.153, 0.250) x4
Ru (0.000, 0.354, 0.250) x4
Rh (0.000, 0.000, 0.000) x4
Rh (0.000, 0.234, 0.577) x8
Rh (0.000, 0.443, 0.750) x4

***

Entry from Alexandria via LeMat-Bulk: an optimized crystal structure of V2RuRh (PBE).

a = 3.974 Å, b = 3.974 Å, c = 3.487 Å
α = 90.00°, β = 90.00°, γ = 90.00°
Space group P4/mmm (No. 123)
Inequivalent atoms, fractional coordinates:
V (0.000, 0.500, 0.000) x2
Ru (0.000, 0.000, 0.500) x1
Rh (0.500, 0.500, 0.500) x1

***

Entry from Alexandria via LeMat-Bulk: an optimized crystal structure of V4RuRh (PBE).

a = 6.865 Å, b = 6.865 Å, c = 6.865 Å
α = 90.00°, β = 90.00°, γ = 90.00°
Space group F-43m (No. 216)
Inequivalent atoms, fractional coordinates:
V (0.124, 0.124, 0.376) x16
Ru (0.250, 0.250, 0.750) x4
Rh (0.000, 0.000, 0.000) x4

***

Entry from Alexandria via LeMat-Bulk: an optimized crystal structure of V4RuRh2 (PBE).

a = 4.480 Å, b = 4.480 Å, c = 12.348 Å
α = 90.00°, β = 90.00°, γ = 90.00°
Space group I4/mmm (No. 139)
Inequivalent atoms, fractional coordinates:
V (0.000, 0.000, 0.196) x4
V (0.000, 0.500, 0.000) x4
Ru (0.000, 0.000, 0.000) x2
Rh (0.000, 0.000, 0.386) x4

***

Entry from Alexandria via LeMat-Bulk: an optimized crystal structure of V6Ru5Rh (PBE).

a = 13.360 Å, b = 5.823 Å, c = 4.360 Å
α = 90.00°, β = 103.79°, γ = 90.00°
Space group C2/m (No. 12)
Inequivalent atoms, fractional coordinates:
V (0.000, 0.246, 0.000) x4
V (0.178, 0.250, 0.630) x8
Ru (0.000, 0.000, 0.500) x2
Ru (0.156, 0.500, 0.114) x4
Ru (0.157, 0.000, 0.114) x4
Rh (0.000, 0.500, 0.500) x2

***

Entry from Alexandria via LeMat-Bulk: an optimized crystal structure of V5Ru4Rh (PBE).

a = 2.917 Å, b = 2.917 Å, c = 16.197 Å
α = 90.00°, β = 90.00°, γ = 90.00°
Space group P4/mmm (No. 123)
Inequivalent atoms, fractional coordinates:
V (0.000, 0.000, 0.000) x1
V (0.000, 0.000, 0.196) x2
V (0.000, 0.000, 0.393) x2
Ru (0.500, 0.500, 0.096) x2
Ru (0.500, 0.500, 0.287) x2
Rh (0.500, 0.500, 0.500) x1

***

Entry from Alexandria via LeMat-Bulk: an optimized crystal structure of VRu2Rh3 (PBE).

a = 2.728 Å, b = 13.062 Å, c = 4.696 Å
α = 90.00°, β = 90.00°, γ = 90.00°
Space group Pmmn (No. 59, origin choice 2)
Inequivalent atoms, fractional coordinates:
V (0.250, 0.250, 0.247) x2
Ru (0.250, 0.591, 0.585) x4
Rh (0.250, 0.085, 0.919) x4
Rh (0.250, 0.750, 0.243) x2

***

Entry from Alexandria via LeMat-Bulk: an optimized crystal structure of V9Ru4Rh11 (PBE).

a = 15.365 Å, b = 16.035 Å, c = 2.706 Å
α = 90.00°, β = 90.00°, γ = 90.00°
Space group Cmmm (No. 65)
Inequivalent atoms, fractional coordinates:
V (0.000, 0.000, 0.000) x2
V (0.117, 0.412, 0.000) x8
V (0.123, 0.239, 0.000) x8
Ru (0.139, 0.082, 0.000) x8
Rh (0.000, 0.150, 0.500) x4
Rh (0.000, 0.324, 0.500) x4
Rh (0.000, 0.500, 0.500) x2
Rh (0.235, 0.500, 0.500) x4
Rh (0.240, 0.332, 0.500) x8

***

Entry from Alexandria via LeMat-Bulk: an optimized crystal structure of V4RuRh (PBE).

a = 9.029 Å, b = 4.173 Å, c = 5.379 Å
α = 90.00°, β = 126.48°, γ = 90.00°
Space group C2/m (No. 12)
Inequivalent atoms, fractional coordinates:
V (0.162, 0.000, 0.335) x4
V (0.172, 0.000, 0.843) x4
Ru (0.000, 0.500, 0.000) x2
Rh (0.000, 0.500, 0.500) x2

***

Entry from Alexandria via LeMat-Bulk: an optimized crystal structure of V4Ru3Rh (PBE).

a = 2.892 Å, b = 2.892 Å, c = 13.187 Å
α = 90.00°, β = 90.00°, γ = 90.00°
Space group P4/mmm (No. 123)
Inequivalent atoms, fractional coordinates:
V (0.000, 0.000, 0.122) x2
V (0.000, 0.000, 0.367) x2
Ru (0.500, 0.500, 0.000) x1
Ru (0.500, 0.500, 0.237) x2
Rh (0.500, 0.500, 0.500) x1

***

Entry from Alexandria via LeMat-Bulk: an optimized crystal structure of V6RuRh8 (PBE).

a = 7.0805 Å, b = 7.0805 Å, c = 15.5995 Å
α = 90.00°, β = 90.00°, γ = 120.00°
Space group R-3 (No. 148, hexagonal axes)
Inequivalent atoms, fractional coordinates:
V (0.0005, 0.3279, 0.4401) x18
Ru (0.0000, 0.0000, 0.5000) x3
Rh (0.0000, 0.0000, 0.1658) x6
Rh (0.9998, 0.3354, 0.6153) x18

***

Entry from Alexandria via LeMat-Bulk: an optimized crystal structure of VRuRh3 (PBE).

a = 4.639 Å, b = 4.639 Å, c = 4.639 Å
α = 90.00°, β = 90.00°, γ = 90.00°
Space group Pm-3m (No. 221)
Inequivalent atoms, fractional coordinates:
V (0.000, 0.000, 0.000) x1
Ru (0.500, 0.500, 0.500) x1
Rh (0.000, 0.500, 0.500) x3

***

Number 1: energy of formation -0.201 eV/atom. Number 2: energy of formation -0.217 eV/atom. Number 3: energy of formation 0.333 eV/atom. Number 4: energy of formation -0.225 eV/atom. Number 5: energy of formation -0.228 eV/atom. Number 6: energy of formation -0.217 eV/atom. Number 7: energy of formation 1.240 eV/atom. Number 8: energy of formation -0.308 eV/atom. Number 9: energy of formation 1.029 eV/atom. Number 10: energy of formation -0.135 eV/atom. Number 11: energy of formation -0.325 eV/atom. Number 12: energy of formation 0.288 eV/atom. Number 13: energy of formation -0.259 eV/atom. Number 14: energy of formation -0.094 eV/atom. Number 15: energy of formation 0.714 eV/atom. Number 16: energy of formation -0.264 eV/atom. Number 17: energy of formation -0.231 eV/atom. Number 18: energy of formation -0.124 eV/atom. Number 19: energy of formation -0.233 eV/atom. Number 20: energy of formation -0.196 eV/atom. Number 21: energy of formation -0.239 eV/atom. Number 22: energy of formation -0.138 eV/atom. Number 23: energy of formation 1.419 eV/atom.